VASP calculation (PBE+U) on a relaxed structure of SrMnO3.

Results
uncorrected energy: -6.12 eV per atom
D(E_F): 1.3 states/eV/f.u.
crystal system: tetragonal

abc: 3.6978 3.6978 11.9740
angles: 81.12 81.12 90.00
With the nearest neighbours (Å) after each atom.
Sites, in units of the cell vectors:
1 O 0.0897 0.7869 0.8206  1 O 1.46
2 O 0.6856 0.6856 0.6288  2 Mn 2.17, 2 Sr 2.38
3 O 0.6075 0.9103 0.1794  1 O 1.46
4 O 0.2131 0.9103 0.1794  1 O 1.46
5 O 0.0897 0.3925 0.8206  1 O 1.46
6 O 0.3144 0.3144 0.3712  2 Mn 2.17, 2 Sr 2.38
7 Sr 0.2500 0.7500 0.5000  4 O 2.38
8 Sr 0.0000 0.0000 0.0000  4 O 2.38
9 Mn 0.8629 0.3629 0.2741  6 O 2.17-2.43
10 Mn 0.6371 0.1371 0.7259  6 O 2.17-2.43